No. 1
# CaTbF6 | Alexandria via LeMat-Bulk | meta-GGA SCAN | PBEsol geometry
# V, Å³ per cell: 220
# Crystal system: tetragonal
# ΔE_f (raw), eV/atom: -3.6334
data_CaTbF6
_chemical_formula_sum 'Ca2 Tb2 F12'
_cell_length_a 5.327
_cell_length_b 5.327
_cell_length_c 7.763
_cell_angle_alpha 90.00
_cell_angle_beta 90.00
_cell_angle_gamma 90.00
_symmetry_space_group_name_H-M 'P 42/m'
_symmetry_Int_Tables_number 84
loop_
_symmetry_equiv_pos_as_xyz
'x,y,z'
'-x,-y,-z'
'-y,x,z+1/2'
'y,-x,-z+1/2'
'-x,-y,z'
'x,y,-z'
'y,-x,z+1/2'
'-y,x,-z+1/2'
loop_
_atom_site_label
_atom_site_fract_x
_atom_site_fract_y
_atom_site_fract_z
Ca1 0.000 0.000 0.000
Tb1 0.500 0.500 0.250
F1 0.174 0.271 0.178
F2 0.301 0.351 0.500

---

No. 2
# Ca2TcF | Alexandria via LeMat-Bulk | meta-GGA SCAN | PBEsol geometry
# V, Å³ per cell: 334
# Crystal system: cubic
# ΔE_f (raw), eV/atom: -0.2329
data_Ca2TcF
_chemical_formula_sum 'Ca8 Tc4 F4'
_cell_length_a 6.939
_cell_length_b 6.939
_cell_length_c 6.939
_cell_angle_alpha 90.00
_cell_angle_beta 90.00
_cell_angle_gamma 90.00
_symmetry_space_group_name_H-M 'F m -3 m'
_symmetry_Int_Tables_number 225
_symmetry_space_group_name_Hall '-F 4 2 3'
loop_
_atom_site_label
_atom_site_fract_x
_atom_site_fract_y
_atom_site_fract_z
Ca1 0.250 0.250 0.250
Tc1 0.000 0.000 0.000
F1 0.000 0.000 0.500

---

No. 3
# CaTcF2 | Alexandria via LeMat-Bulk | meta-GGA SCAN | PBEsol geometry
# V, Å³ per cell: 186
# Crystal system: trigonal
# ΔE_f (raw), eV/atom: -1.8004
data_CaTcF2
_chemical_formula_sum 'Ca3 Tc3 F6'
_cell_length_a 3.4693
_cell_length_b 3.4693
_cell_length_c 17.8887
_cell_angle_alpha 90.00
_cell_angle_beta 90.00
_cell_angle_gamma 120.00
_symmetry_space_group_name_H-M 'R -3 m'
_symmetry_Int_Tables_number 166
_symmetry_space_group_name_Hall '-R 3 2"'
loop_
_atom_site_label
_atom_site_fract_x
_atom_site_fract_y
_atom_site_fract_z
Ca1 0.0000 0.0000 0.0000
Tc1 0.0000 0.0000 0.5000
F1 0.0000 0.0000 0.3832

---

No. 4
# CaTe2F | Alexandria via LeMat-Bulk | meta-GGA SCAN | PBEsol geometry
# V, Å³ per cell: 408
# Crystal system: tetragonal
# ΔE_f (raw), eV/atom: -1.4652
data_CaTe2F
_chemical_formula_sum 'Ca4 Te8 F4'
_cell_length_a 4.198
_cell_length_b 4.198
_cell_length_c 23.125
_cell_angle_alpha 90.00
_cell_angle_beta 90.00
_cell_angle_gamma 90.00
_symmetry_space_group_name_H-M 'I -4 2 d'
_symmetry_Int_Tables_number 122
_symmetry_space_group_name_Hall 'I -4 2bw'
loop_
_atom_site_label
_atom_site_fract_x
_atom_site_fract_y
_atom_site_fract_z
Ca1 0.000 0.000 0.000
Te1 0.249 0.250 0.625
F1 0.000 0.000 0.500

---

The records above yield mass density values of 4.72 3.92 4.70 5.12 g/cm³, respectively.
The records above yield DFT total energy values of -13.3417 -14.7146 -14.7512 -23.3916 eV/atom, respectively.